# 1
LiEr2TaO6: optimized geometry, GGA-PBE.

Computed properties:
Crystal system   trigonal
Size of the total moment   0.0 μB/cell
VASP energy   -84.131 eV for the cell shown
Space group   R3, No. 146

a = 5.5314 Å, b = 5.5315 Å, c = 5.9343 Å
α = 62.22°, β = 62.22°, γ = 60.00°
Element x y z (fractional)
Ta1 0.3196 0.3196 0.0412
Er1 0.0233 0.0233 0.9301
O1 0.9611 0.5827 0.2228
O2 0.6911 0.1276 0.7617
O3 0.4195 0.6911 0.7617
Er2 0.5245 0.5245 0.4265
Li1 0.7787 0.7788 0.6639
O4 0.2334 0.9611 0.2228
O5 0.1276 0.4196 0.7617
O6 0.5827 0.2334 0.2228



# 2
LiErTc2O8: optimized geometry, GGA-PBE.

Computed properties:
Crystal system   trigonal
Size of the total moment   2.0 μB/cell
VASP energy   -89.183 eV for the cell shown
Space group   P-3m1, No. 164

a = 5.9086 Å, b = 5.9086 Å, c = 6.1970 Å
α = 90.00°, β = 90.00°, γ = 120.00°
Element x y z (fractional)
O1 0.8350 0.1648 0.2656
Er1 0.0000 0.0000 0.5000
O2 0.1648 0.3298 0.7343
O3 0.6667 0.3333 0.8977
Tc1 0.3333 0.6667 0.8232
O4 0.8352 0.6702 0.2656
O5 0.3333 0.6667 0.1023
Li1 0.0000 0.0000 0.0000
O6 0.3298 0.1650 0.2656
O7 0.1650 0.8352 0.7343
O8 0.6702 0.8350 0.7343
Tc2 0.6667 0.3333 0.1768



# 3
LiEr2TeO6: optimized geometry, GGA-PBE.

Computed properties:
Crystal system   trigonal
Size of the total moment   0.7 μB/cell
VASP energy   -68.044 eV for the cell shown
Space group   R3, No. 146

a = 5.6119 Å, b = 5.6120 Å, c = 5.9890 Å
α = 62.06°, β = 62.06°, γ = 60.00°
Element x y z (fractional)
O1 0.1281 0.4178 0.7613
Te1 0.3219 0.3219 0.0343
Er1 0.5270 0.5270 0.4189
Er2 0.0207 0.0207 0.9380
Li1 0.7820 0.7820 0.6540
O2 0.4178 0.6928 0.7613
O3 0.9454 0.5965 0.2287
O4 0.6928 0.1281 0.7613
O5 0.5965 0.2294 0.2286
O6 0.2295 0.9454 0.2286



# 4
Li3Er2TlO6: optimized geometry, GGA-PBE.

Computed properties:
Crystal system   monoclinic
Size of the total moment   0.0 μB/cell
VASP energy   -74.407 eV for the cell shown
Space group   C2/m, No. 12

a = 5.7384 Å, b = 5.7384 Å, c = 5.5052 Å
α = 100.53°, β = 100.53°, γ = 119.58°
Element x y z (fractional)
Er1 0.3331 0.6669 0.0000
O1 0.7407 0.7407 0.2480
Li1 0.5000 0.5000 0.5000
Tl1 0.0000 0.0000 0.0000
O2 0.9161 0.5752 0.7595
O3 0.4248 0.0839 0.2405
O4 0.2593 0.2593 0.7520
Li2 0.8460 0.1540 0.5000
Er2 0.6669 0.3331 0.0000
O5 0.5752 0.9161 0.7595
Li3 0.1540 0.8460 0.5000
O6 0.0839 0.4248 0.2405



# 5
LiEr2TlO: optimized geometry, GGA-PBE.

Computed properties:
Crystal system   tetragonal
Size of the total moment   0.0 μB/cell
VASP energy   -25.319 eV for the cell shown
Space group   P4/mmm, No. 123

a = 4.2887 Å, b = 4.7288 Å, c = 4.7288 Å
α = 90.00°, β = 90.00°, γ = 90.00°
Element x y z (fractional)
Er1 0.0000 0.5000 0.0000
Tl1 0.5000 0.5000 0.5000
Li1 0.5000 0.0000 0.0000
Er2 0.0000 0.0000 0.5000
O1 0.0000 0.0000 0.0000



# 6
LiErTlO2: optimized geometry, GGA-PBE.

Computed properties:
Crystal system   monoclinic
Size of the total moment   0.0 μB/cell
VASP energy   -29.600 eV for the cell shown
Space group   Cm, No. 8

a = 3.4065 Å, b = 8.7642 Å, c = 3.4065 Å
α = 78.82°, β = 60.01°, γ = 78.82°
Element x y z (fractional)
Li1 0.2760 0.2453 0.2760
Er1 0.5188 0.5171 0.5188
O1 0.1492 0.6260 0.1492
Tl1 0.0435 0.9395 0.0435
O2 0.9054 0.3573 0.9054



# 7
Li2ErTlO4: optimized geometry, GGA-PBE.

Computed properties:
Crystal system   monoclinic
Size of the total moment   0.0 μB/cell
VASP energy   -46.494 eV for the cell shown
Space group   P2/m, No. 10

a = 3.3747 Å, b = 5.4417 Å, c = 5.6357 Å
α = 71.92°, β = 90.00°, γ = 90.00°
Element x y z (fractional)
Er1 0.0000 0.5000 0.5000
O1 0.5000 0.7414 0.2764
Li1 0.0000 0.0000 0.0000
Tl1 0.5000 0.5000 0.0000
Li2 0.5000 0.0000 0.5000
O2 0.5000 0.2586 0.7236
O3 0.0000 0.2506 0.2413
O4 0.0000 0.7494 0.7587



# 8
LiErTlO2: optimized geometry, GGA-PBE.

Computed properties:
Crystal system   monoclinic
Size of the total moment   0.0 μB/cell
VASP energy   -29.406 eV for the cell shown
Space group   Cm, No. 8

a = 3.3746 Å, b = 9.7625 Å, c = 3.3746 Å
α = 100.51°, β = 59.98°, γ = 100.51°
Element x y z (fractional)
O1 0.7956 0.3961 0.7956
Er1 0.5145 0.5451 0.5145
Li1 0.0972 0.3057 0.0972
O2 0.2152 0.6415 0.2152
Tl1 0.9847 0.9450 0.9847



# 9
Li2ErTmO4: optimized geometry, GGA-PBE.

Computed properties:
Crystal system   monoclinic
Size of the total moment   0.0 μB/cell
VASP energy   -56.010 eV for the cell shown
Space group   P2/m, No. 10

a = 3.3215 Å, b = 5.3924 Å, c = 5.7563 Å
α = 69.09°, β = 90.00°, γ = 90.00°
Element x y z (fractional)
Tm1 0.0000 0.5000 0.5000
O1 0.5000 0.2660 0.7435
O2 0.5000 0.7340 0.2565
Li1 0.0000 0.0000 0.0000
Li2 0.5000 0.0000 0.5000
O3 0.0000 0.2657 0.2466
O4 0.0000 0.7343 0.7534
Er1 0.5000 0.5000 0.0000



no.,V (Å³/cell)
1,132.5
2,187.4
3,137.4
4,146.9
5,95.9
6,85.8
7,98.4
8,94.1
9,96.3